Below is crystalline Tb3YAl2 at its relaxed geometry, with properties calculated at the GGA-PBE level. Values from VASP.

Output
Polymorph energy (0 for the lowest one) = 0.105 eV per atom
Energy = -4.83 eV/atom

Geometry as Quantum ESPRESSO input:
```
&SYSTEM
  ibrav = 0, nat = 12, ntyp = 3
/
ATOMIC_SPECIES
Tb 158.93 Tb.upf
Al 26.98 Al.upf
Y 88.91 Y.upf
ATOMIC_POSITIONS angstrom
Tb 1.326 2.214 1.893
Al -3.010 -1.615 3.198
Al 1.077 7.370 3.643
Tb -0.092 4.676 3.825
Y -0.273 -1.184 1.424
Tb -0.536 -2.970 4.411
Al 2.382 3.321 5.038
Al -1.705 -5.663 4.593
Tb -1.678 1.314 3.345
Tb 1.049 0.392 4.892
Y -0.355 2.890 6.812
Tb -1.954 -0.508 6.343
CELL_PARAMETERS angstrom
-4.649 2.074 0.831
0.080 -7.855 4.043
3.941 7.488 3.363
```

Below is crystalline Tb6Y2Al at its relaxed geometry, with properties calculated at the GGA-PBE level. Values from VASP.

Output
Energy = -4.94 eV/atom

Geometry as Quantum ESPRESSO input:
```
&SYSTEM
  ibrav = 0, nat = 18, ntyp = 3
/
ATOMIC_SPECIES
Tb 158.93 Tb.upf
Y 88.91 Y.upf
Al 26.98 Al.upf
ATOMIC_POSITIONS angstrom
Tb 5.285 0.300 2.164
Y 2.337 7.953 7.554
Tb 5.319 3.711 1.426
Tb 2.536 5.297 3.326
Tb -0.266 6.847 5.662
Tb -0.395 9.695 8.293
Tb -0.429 6.283 9.030
Al 2.688 4.997 0.131
Tb 2.388 1.286 6.393
Tb 2.354 4.698 7.131
Tb 2.225 1.849 9.762
Y 2.553 2.042 2.902
Al -0.243 0.000 5.098
Tb 5.156 3.148 4.795
Y 4.998 2.955 8.131
Tb 2.665 8.145 0.695
Y -0.108 7.039 2.326
Tb 2.502 8.708 4.063
CELL_PARAMETERS angstrom
5.376 0.000 0.261
0.000 9.994 0.000
-0.486 0.000 10.195
```

Below is crystalline Tb2Y3Al3 at its relaxed geometry, with properties calculated at the GGA-PBE level. Values from VASP.

Output
Energy = -5.30 eV/atom

Geometry as Quantum ESPRESSO input:
```
&SYSTEM
  ibrav = 0, nat = 8, ntyp = 3
/
ATOMIC_SPECIES
Y 88.91 Y.upf
Al 26.98 Al.upf
Tb 158.93 Tb.upf
ATOMIC_POSITIONS angstrom
Y 1.840 0.000 0.000
Al 0.000 2.578 0.000
Y 1.840 2.578 2.593
Y 0.000 0.000 8.247
Tb 1.840 0.000 4.989
Tb 0.000 2.578 5.851
Al 0.000 0.000 2.513
Al 1.840 2.578 8.327
CELL_PARAMETERS angstrom
3.679 0.000 0.000
0.000 5.155 0.000
-1.840 -2.578 10.839
```

Below is crystalline Tb8YAl6 at its relaxed geometry, with properties calculated at the GGA-PBE level. Values from VASP.

Output
Energy = -4.56 eV/atom

Geometry as Quantum ESPRESSO input:
```
&SYSTEM
  ibrav = 0, nat = 15, ntyp = 3
/
ATOMIC_SPECIES
Tb 158.93 Tb.upf
Al 26.98 Al.upf
Y 88.91 Y.upf
ATOMIC_POSITIONS angstrom
Tb 3.383 -7.842 -1.678
Al 2.786 -5.961 -4.072
Al 1.578 -13.081 -3.781
Tb 4.809 -8.246 -4.816
Tb 0.981 -11.200 -6.175
Tb 2.784 -11.415 -1.506
Tb 4.158 -11.655 -4.854
Tb -0.445 -10.797 -3.037
Al 5.410 -10.119 -2.417
Al -1.047 -8.923 -5.436
Tb 0.206 -7.387 -2.999
Tb 1.580 -7.628 -6.347
Al 3.566 -9.780 -7.254
Al 0.797 -9.262 -0.599
Y 0.000 0.000 0.000
CELL_PARAMETERS angstrom
-3.031 -6.773 -4.545
5.398 -4.659 -4.988
1.997 -7.611 1.680
```

What did the fourth record say?
Below is crystalline Tb8YAl6 at its relaxed geometry, with properties calculated at the GGA-PBE level. Values from VASP.

Output
Energy = -4.56 eV/atom

Geometry as Quantum ESPRESSO input:
```
&SYSTEM
  ibrav = 0, nat = 15, ntyp = 3
/
ATOMIC_SPECIES
Tb 158.93 Tb.upf
Al 26.98 Al.upf
Y 88.91 Y.upf
ATOMIC_POSITIONS angstrom
Tb 3.383 -7.842 -1.678
Al 2.786 -5.961 -4.072
Al 1.578 -13.081 -3.781
Tb 4.809 -8.246 -4.816
Tb 0.981 -11.200 -6.175
Tb 2.784 -11.415 -1.506
Tb 4.158 -11.655 -4.854
Tb -0.445 -10.797 -3.037
Al 5.410 -10.119 -2.417
Al -1.047 -8.923 -5.436
Tb 0.206 -7.387 -2.999
Tb 1.580 -7.628 -6.347
Al 3.566 -9.780 -7.254
Al 0.797 -9.262 -0.599
Y 0.000 0.000 0.000
CELL_PARAMETERS angstrom
-3.031 -6.773 -4.545
5.398 -4.659 -4.988
1.997 -7.611 1.680
```